# 1
Here is Y2ZnPb2 after structural relaxation from the Alexandria database. Energies are from PBE.

Output
E_form	-334	meV/atom
density	8.11	g/cm3
N(E_F)	1.6	states/eV/f.u.
M_tot	0.00	μB/f.u.
symmetry	No. 127

Unit cell a=7.621 b=7.621 c=4.635 alpha=90.00 beta=90.00 gamma=90.00
Fractional coordinates of all 10 atoms:
1 Zn 0.000 0.000 0.000
2 Zn 0.500 0.500 0.000
3 Y 0.329 0.171 0.500
4 Y 0.829 0.329 0.500
5 Y 0.171 0.671 0.500
6 Y 0.671 0.829 0.500
7 Pb 0.140 0.360 0.000
8 Pb 0.360 0.860 0.000
9 Pb 0.640 0.140 0.000
10 Pb 0.860 0.640 0.000

***

# 2
Here is YZn2Pb after structural relaxation from the Alexandria database. Energies are from PBE.

Output
E_form	-278	meV/atom
density	8.07	g/cm3
N(E_F)	1.3	states/eV/f.u.
M_tot	0.00	μB/f.u.
symmetry	No. 2

Unit cell a=7.677 b=4.420 c=4.467 alpha=90.02 beta=54.58 gamma=124.99
Fractional coordinates of all 4 atoms:
1 Pb 0.000 0.500 0.500
2 Zn 0.000 0.000 0.000
3 Zn 0.500 0.000 0.500
4 Y 0.500 0.500 0.000

***

# 3
Here is YZnPb2 after structural relaxation from the Alexandria database. Energies are from PBE.

Output
E_form	-217	meV/atom
density	9.21	g/cm3
N(E_F)	2.2	states/eV/f.u.
M_tot	0.00	μB/f.u.
symmetry	No. 119

Unit cell a=6.090 b=6.090 c=6.090 alpha=137.34 beta=137.34 gamma=61.92
Fractional coordinates of all 4 atoms:
1 Y 0.500 0.500 0.000
2 Pb 0.250 0.750 0.500
3 Pb 0.000 0.000 0.000
4 Zn 0.750 0.250 0.500

***

# 4
Here is YZnPb2 after structural relaxation from the Alexandria database. Energies are from PBE.

Output
E_form	-140	meV/atom
density	8.80	g/cm3
N(E_F)	3.0	states/eV/f.u.
M_tot	0.00	μB/f.u.
symmetry	No. 6

Unit cell a=4.524 b=3.664 c=7.199 alpha=64.02 beta=90.00 gamma=90.00
Fractional coordinates of all 4 atoms:
1 Zn 0.500 0.808 0.735
2 Y 0.000 0.538 0.510
3 Pb 0.500 0.236 0.270
4 Pb 0.000 0.918 0.985

***

# 5
Here is Y2Zn2Pb after structural relaxation from the Alexandria database. Energies are from PBE.

Output
E_form	-40	meV/atom
density	6.48	g/cm3
N(E_F)	3.8	states/eV/f.u.
M_tot	0.62	μB/f.u.
symmetry	No. 139

Unit cell a=4.810 b=4.810 c=6.648 alpha=68.79 beta=68.79 gamma=90.00
Last column: magnetic moment on the atom in μB.
Fractional coordinates of all 5 atoms:
1 Zn 0.603 0.603 0.795  0.00
2 Zn 0.397 0.397 0.205  0.00
3 Y 0.750 0.250 0.500  0.18
4 Y 0.250 0.750 0.500  0.18
5 Pb 0.000 0.000 0.000  0.00

***

# 6
Here is Y2Zn2Pb after structural relaxation from the Alexandria database. Energies are from PBE.

Output
E_form	-209	meV/atom
density	6.85	g/cm3
N(E_F)	5.9	states/eV/f.u.
M_tot	0.00	μB/f.u.
symmetry	No. 139

Unit cell a=3.666 b=3.666 c=9.656 alpha=79.06 beta=79.06 gamma=90.00
Fractional coordinates of all 5 atoms:
1 Y 0.613 0.613 0.774
2 Y 0.387 0.387 0.226
3 Pb 0.000 0.000 0.000
4 Zn 0.250 0.750 0.500
5 Zn 0.750 0.250 0.500

***

# 7
Here is YZn2Pb after structural relaxation from the Alexandria database. Energies are from PBE.

Output
E_form	-100	meV/atom
density	7.53	g/cm3
N(E_F)	2.8	states/eV/f.u.
M_tot	0.00	μB/f.u.
symmetry	No. 12

Unit cell a=5.339 b=5.339 c=5.397 alpha=76.58 beta=76.58 gamma=39.13
Fractional coordinates of all 4 atoms:
1 Pb 0.750 0.750 0.750
2 Zn 0.001 0.001 0.004
3 Zn 0.499 0.499 0.496
4 Y 0.250 0.250 0.250

***

# 8
Here is YZn2Pb after structural relaxation from the Alexandria database. Energies are from PBE.

Output
E_form	-185	meV/atom
density	7.75	g/cm3
N(E_F)	2.9	states/eV/f.u.
M_tot	0.00	μB/f.u.
symmetry	No. 8

Unit cell a=5.942 b=5.942 c=4.509 alpha=67.78 beta=67.78 gamma=38.85
Fractional coordinates of all 4 atoms:
1 Pb 0.494 0.494 0.506
2 Zn 0.707 0.707 0.793
3 Zn 0.031 0.031 0.969
4 Y 0.268 0.268 0.232